A relaxed BeHSe2N crystal, computed with PBE-GGA.

a b c (Å): 5.0007 5.0007 2.9601
angles (deg): 90.00 90.00 90.00
Last column: nearest neighbours and their distance in Å.
Space group P4/mmm (No. 123)
One atom of each set of equivalent atoms:
Be1 0.0000 0.0000 0.0000 [1 per cell]  2 N 1.48
H1 0.5000 0.5000 0.5000 [1 per cell]  8 Se 2.91, 2 H 2.96
Se1 0.0000 0.5000 0.0000 [2 per cell]  2 Be 2.50
N1 0.0000 0.0000 0.5000 [1 per cell]  2 Be 1.48

Output
D(E_F): 0.766 states/eV per atom
Volume: 14.8 Å³ per atom
ΔE to the lowest computed polymorph: 0 meV/atom
Electronic total energy: -3.54 eV per atom
Mass density: 4.1 g/cm³
Total moment: 0.2 μB/cell